No. 1
Density functional theory data (PBE) for Ba2Cd12Cu3Ag after structural relaxation.

Results
The energy is -1.54 eV/atom.

Cell and atoms, written as CIF:
```
data_Ba2Cd12Cu3Ag
_chemical_formula_sum 'Ba6 Cd36 Cu9 Ag3'
_cell_length_a 9.2227
_cell_length_b 9.2227
_cell_length_c 21.6210
_cell_angle_alpha 90.00
_cell_angle_beta 90.00
_cell_angle_gamma 120.00
_symmetry_space_group_name_H-M 'R -3 m'
_symmetry_Int_Tables_number 166
_symmetry_space_group_name_Hall '-R 3 2"'
loop_
_atom_site_label
_atom_site_type_symbol
_atom_site_fract_x
_atom_site_fract_y
_atom_site_fract_z
Ba1 Ba 0.0000 0.0000 0.1122
Cd1 Cd 0.0110 0.5055 0.1195
Cd2 Cd 0.0380 0.5190 0.3548
Cu1 Cu 0.0000 0.5000 0.0000
Ag1 Ag 0.0000 0.0000 0.5000
```

No. 2
Density functional theory data (PBE) for BaDyCdAg after structural relaxation.

Results
The energy is -2.71 eV/atom.

Cell and atoms, written as CIF:
```
data_BaDyCdAg
_chemical_formula_sum 'Ba4 Dy4 Cd4 Ag4'
_cell_length_a 7.865
_cell_length_b 7.865
_cell_length_c 7.865
_cell_angle_alpha 90.00
_cell_angle_beta 90.00
_cell_angle_gamma 90.00
_symmetry_space_group_name_H-M 'F -4 3 m'
_symmetry_Int_Tables_number 216
_symmetry_space_group_name_Hall 'F -4 2 3'
loop_
_atom_site_label
_atom_site_type_symbol
_atom_site_fract_x
_atom_site_fract_y
_atom_site_fract_z
Ba1 Ba 0.000 0.000 0.000
Dy1 Dy 0.000 0.000 0.500
Cd1 Cd 0.250 0.250 0.750
Ag1 Ag 0.250 0.250 0.250
```

No. 3
Density functional theory data (PBE) for BaEuCdAg after structural relaxation.

Results
The energy is -4.25 eV/atom.

Cell and atoms, written as CIF:
```
data_BaEuCdAg
_chemical_formula_sum 'Ba4 Eu4 Cd4 Ag4'
_cell_length_a 8.094
_cell_length_b 8.094
_cell_length_c 8.094
_cell_angle_alpha 90.00
_cell_angle_beta 90.00
_cell_angle_gamma 90.00
_symmetry_space_group_name_H-M 'F -4 3 m'
_symmetry_Int_Tables_number 216
_symmetry_space_group_name_Hall 'F -4 2 3'
loop_
_atom_site_label
_atom_site_type_symbol
_atom_site_fract_x
_atom_site_fract_y
_atom_site_fract_z
Ba1 Ba 0.000 0.000 0.000
Eu1 Eu 0.000 0.000 0.500
Cd1 Cd 0.250 0.250 0.750
Ag1 Ag 0.250 0.250 0.250
```

No. 4
Density functional theory data (PBE) for BaCdAg2F8 after structural relaxation.

Results
The uncorrected formation energy is -1.963 eV per atom.

Cell and atoms, written as CIF:
```
data_BaCdAg2F8
_chemical_formula_sum 'Ba2 Cd2 Ag4 F16'
_cell_length_a 5.692
_cell_length_b 5.692
_cell_length_c 11.394
_cell_angle_alpha 90.00
_cell_angle_beta 90.00
_cell_angle_gamma 90.00
_symmetry_space_group_name_H-M 'I -4 m 2'
_symmetry_Int_Tables_number 119
_symmetry_space_group_name_Hall 'I -4 -2'
loop_
_atom_site_label
_atom_site_type_symbol
_atom_site_fract_x
_atom_site_fract_y
_atom_site_fract_z
Ba1 Ba 0.000 0.000 0.000
Cd1 Cd 0.000 0.500 0.750
Ag1 Ag 0.000 0.000 0.500
Ag2 Ag 0.000 0.500 0.250
F1 F 0.233 0.234 0.633
```

No. 5
Density functional theory data (PBE) for BaCd2AgF8 after structural relaxation.

Results
The uncorrected formation energy is -2.305 eV per atom.

Cell and atoms, written as CIF:
```
data_BaCd2AgF8
_chemical_formula_sum 'Ba1 Cd2 Ag1 F8'
_cell_length_a 4.266
_cell_length_b 5.749
_cell_length_c 7.996
_cell_angle_alpha 89.34
_cell_angle_beta 87.06
_cell_angle_gamma 89.20
_symmetry_space_group_name_H-M 'P -1'
_symmetry_Int_Tables_number 2
loop_
_symmetry_equiv_pos_as_xyz
'x,y,z'
'-x,-y,-z'
loop_
_atom_site_label
_atom_site_type_symbol
_atom_site_fract_x
_atom_site_fract_y
_atom_site_fract_z
Ba1 Ba 0.000 0.000 0.000
Cd1 Cd 0.451 0.507 0.254
Ag1 Ag 0.000 0.000 0.500
F1 F 0.060 0.349 0.765
F2 F 0.165 0.173 0.283
F3 F 0.370 0.732 0.492
F4 F 0.484 0.727 0.992
```

No. 6
Density functional theory data (PBE) for BaCd3Ag4F12 after structural relaxation.

Results
The uncorrected formation energy is -1.898 eV per atom.

Cell and atoms, written as CIF:
```
data_BaCd3Ag4F12
_chemical_formula_sum 'Ba3 Cd9 Ag12 F36'
_cell_length_a 12.5370
_cell_length_b 12.5370
_cell_length_c 8.3053
_cell_angle_alpha 90.00
_cell_angle_beta 90.00
_cell_angle_gamma 120.00
_symmetry_space_group_name_H-M 'R 3 2'
_symmetry_Int_Tables_number 155
_symmetry_space_group_name_Hall 'R 3 2"'
loop_
_atom_site_label
_atom_site_type_symbol
_atom_site_fract_x
_atom_site_fract_y
_atom_site_fract_z
Ba1 Ba 0.0000 0.0000 0.0000
Cd1 Cd 0.0000 0.5748 0.0000
Ag1 Ag 0.0000 0.0000 0.5000
Ag2 Ag 0.0000 0.3990 0.5000
F1 F 0.0000 0.5917 0.5000
F2 F 0.0000 0.8228 0.5000
F3 F 0.0635 0.1987 0.1898
```

No. 7
Density functional theory data (PBE) for BaCdAgF6 after structural relaxation.

Results
The uncorrected formation energy is -2.370 eV per atom.

Cell and atoms, written as CIF:
```
data_BaCdAgF6
_chemical_formula_sum 'Ba1 Cd1 Ag1 F6'
_cell_length_a 5.639
_cell_length_b 5.828
_cell_length_c 5.860
_cell_angle_alpha 116.57
_cell_angle_beta 91.25
_cell_angle_gamma 91.36
_symmetry_space_group_name_H-M 'P 1'
_symmetry_Int_Tables_number 1
loop_
_symmetry_equiv_pos_as_xyz
'x,y,z'
loop_
_atom_site_label
_atom_site_type_symbol
_atom_site_fract_x
_atom_site_fract_y
_atom_site_fract_z
Ba1 Ba 0.000 0.000 0.000
Cd1 Cd 0.501 0.330 0.671
Ag1 Ag 0.501 0.671 0.328
F1 F 0.256 0.021 0.649
F2 F 0.294 0.363 0.345
F3 F 0.301 0.648 0.998
F4 F 0.701 0.003 0.352
F5 F 0.708 0.656 0.635
F6 F 0.750 0.357 0.978
```

No. 8
Density functional theory data (PBE) for BaCdGaAg2 after structural relaxation.

Results
Its relative energy among the computed polymorphs is 0.000 eV/atom.

Cell and atoms, written as CIF:
```
data_BaCdGaAg2
_chemical_formula_sum 'Ba2 Cd2 Ga2 Ag4'
_cell_length_a 4.645
_cell_length_b 4.788
_cell_length_c 11.539
_cell_angle_alpha 90.00
_cell_angle_beta 90.00
_cell_angle_gamma 90.00
_symmetry_space_group_name_H-M 'I m m 2'
_symmetry_Int_Tables_number 44
loop_
_symmetry_equiv_pos_as_xyz
'x,y,z'
'-x,-y,z'
'-x,y,z'
'x,-y,z'
'x+1/2,y+1/2,z+1/2'
'-x+1/2,-y+1/2,z+1/2'
'-x+1/2,y+1/2,z+1/2'
'x+1/2,-y+1/2,z+1/2'
loop_
_atom_site_label
_atom_site_type_symbol
_atom_site_fract_x
_atom_site_fract_y
_atom_site_fract_z
Ba1 Ba 0.000 0.000 0.000
Cd1 Cd 0.000 0.500 0.746
Ga1 Ga 0.000 0.000 0.624
Ag1 Ag 0.000 0.000 0.392
Ag2 Ag 0.000 0.500 0.243
```

No. 9
Density functional theory data (PBE) for BaCdGa2Ag4 after structural relaxation.

Results
The energy is -2.64 eV/atom.

Cell and atoms, written as CIF:
```
data_BaCdGa2Ag4
_chemical_formula_sum 'Ba3 Cd3 Ga6 Ag12'
_cell_length_a 4.5490
_cell_length_b 4.5490
_cell_length_c 31.0962
_cell_angle_alpha 90.00
_cell_angle_beta 90.00
_cell_angle_gamma 120.00
_symmetry_space_group_name_H-M 'R -3 m'
_symmetry_Int_Tables_number 166
_symmetry_space_group_name_Hall '-R 3 2"'
loop_
_atom_site_label
_atom_site_type_symbol
_atom_site_fract_x
_atom_site_fract_y
_atom_site_fract_z
Ba1 Ba 0.0000 0.0000 0.0000
Cd1 Cd 0.0000 0.0000 0.5000
Ga1 Ga 0.0000 0.0000 0.2487
Ag1 Ag 0.0000 0.0000 0.1253
Ag2 Ag 0.0000 0.0000 0.4095
```

No. 10
Density functional theory data (PBE) for BaCd2GaAg after structural relaxation.

Results
Its relative energy among the computed polymorphs is 0.171 eV/atom.

Cell and atoms, written as CIF:
```
data_BaCd2GaAg
_chemical_formula_sum 'Ba1 Cd2 Ga1 Ag1'
_cell_length_a 5.333
_cell_length_b 5.333
_cell_length_c 5.154
_cell_angle_alpha 90.00
_cell_angle_beta 90.00
_cell_angle_gamma 90.00
_symmetry_space_group_name_H-M 'P 4/m m m'
_symmetry_Int_Tables_number 123
_symmetry_space_group_name_Hall '-P 4 2'
loop_
_atom_site_label
_atom_site_type_symbol
_atom_site_fract_x
_atom_site_fract_y
_atom_site_fract_z
Ba1 Ba 0.000 0.000 0.000
Cd1 Cd 0.000 0.500 0.500
Ga1 Ga 0.500 0.500 0.500
Ag1 Ag 0.500 0.500 0.000
```

No. 11
Density functional theory data (PBE) for Ba2CdGaAg6 after structural relaxation.

Results
The energy is -2.66 eV/atom.

Cell and atoms, written as CIF:
```
data_Ba2CdGaAg6
_chemical_formula_sum 'Ba2 Cd1 Ga1 Ag6'
_cell_length_a 5.992
_cell_length_b 7.248
_cell_length_c 7.476
_cell_angle_alpha 85.30
_cell_angle_beta 66.42
_cell_angle_gamma 65.84
_symmetry_space_group_name_H-M 'P -1'
_symmetry_Int_Tables_number 2
loop_
_symmetry_equiv_pos_as_xyz
'x,y,z'
'-x,-y,-z'
loop_
_atom_site_label
_atom_site_type_symbol
_atom_site_fract_x
_atom_site_fract_y
_atom_site_fract_z
Ba1 Ba 0.051 0.201 0.197
Cd1 Cd 0.500 0.500 0.000
Ga1 Ga 0.500 0.000 0.500
Ag1 Ag 0.010 0.264 0.713
Ag2 Ag 0.353 0.397 0.398
Ag3 Ag 0.488 0.737 0.286
```

No. 12
Density functional theory data (PBE) for Ba2CdGa4Ag3 after structural relaxation.

Results
The energy is -2.84 eV/atom.

Cell and atoms, written as CIF:
```
data_Ba2CdGa4Ag3
_chemical_formula_sum 'Ba2 Cd1 Ga4 Ag3'
_cell_length_a 4.669
_cell_length_b 4.669
_cell_length_c 11.244
_cell_angle_alpha 90.00
_cell_angle_beta 90.00
_cell_angle_gamma 90.00
_symmetry_space_group_name_H-M 'P -4 m 2'
_symmetry_Int_Tables_number 115
loop_
_symmetry_equiv_pos_as_xyz
'x,y,z'
'y,-x,-z'
'-x,-y,z'
'-y,x,-z'
'-x,y,z'
'-y,-x,-z'
'x,-y,z'
'y,x,-z'
loop_
_atom_site_label
_atom_site_type_symbol
_atom_site_fract_x
_atom_site_fract_y
_atom_site_fract_z
Ba1 Ba 0.000 0.500 0.245
Cd1 Cd 0.000 0.000 0.500
Ga1 Ga 0.000 0.000 0.000
Ga2 Ga 0.000 0.500 0.634
Ga3 Ga 0.500 0.500 0.000
Ag1 Ag 0.000 0.500 0.875
Ag2 Ag 0.500 0.500 0.500
```

The records above yield size of the total moment values of 0.0, 0.0, 7.2, 2.1, 1.0, 0.0, 1.1, 0.0, 0.0, 0.0, 0.0, 0.0 μB/f.u., respectively.
The records above yield ρ values of 6.01, 7.10, 6.38, 5.55, 5.27, 5.00, 4.55, 6.93, 7.34, 6.11, 6.78, 6.70 Mg/m³, respectively.